Here is an optimized crystal structure of Na2NiO2 from the Alexandria database. Energies are from PBE+U.

The value obtained for the final energy is -31.698 eV per cell. For the density of states at the Fermi level, the calculation gives 7.61 states/eV/cell. The energy above the most stable polymorph in this dataset is 1.006 eV per atom. The magnetic moment is 4.00 μB/cell. Its density is 3.41 g cm⁻³.

It has space group I4/mmm (No. 139), with a = 4.239 Å, b = 4.239 Å, c = 7.397 Å, α = 90.00°, β = 90.00° and γ = 90.00°. The asymmetric unit holds Na at (0.000, 0.000, 0.160), Ni at (0.000, 0.000, 0.500) and O at (0.000, 0.500, 0.250).